1.
## In2AgTe (GGA-PBEsol)

Data for an optimized crystal structure of In2AgTe.

- Symmetry: No. 160
- Formation energy (no corrections): 0.09 eV per atom

Cell lengths 3.262, 3.262, 10.623 Å; angles 81.17, 81.17, 60.00 degrees
Positions (direct):
Te1 0.512 0.512 0.464
Ag1 0.253 0.253 0.241
In1 0.991 0.991 0.027
In2 0.744 0.744 0.767

2.
## InAg2Te2 (GGA-PBEsol)

Data for an optimized crystal structure of InAg2Te2.

- Symmetry: No. 139
- Formation energy (no corrections): -0.07 eV per atom

Cell lengths 4.052, 4.052, 8.168 Å; angles 104.36, 104.36, 90.00 degrees
Positions (direct):
Te1 0.380 0.380 0.761
Te2 0.620 0.620 0.239
Ag1 0.250 0.750 0.500
Ag2 0.750 0.250 0.500
In1 0.000 0.000 0.000

3.
## InAgTe (GGA-PBEsol)

Data for an optimized crystal structure of InAgTe.

- Symmetry: No. 216
- Formation energy (no corrections): 0.12 eV per atom

Cell lengths 4.961, 4.961, 4.961 Å; angles 60.00, 60.00, 60.00 degrees
Positions (direct):
Te1 0.750 0.750 0.750
Ag1 0.000 0.000 0.000
In1 0.500 0.500 0.500

4.
## In5AgTe8 (GGA-PBEsol)

Data for an optimized crystal structure of In5AgTe8.

- Symmetry: No. 111
- Formation energy (no corrections): -0.25 eV per atom

Cell lengths 6.181, 6.181, 12.417 Å; angles 90.00, 90.00, 90.00 degrees
Positions (direct):
In1 0.000 0.500 0.257
In2 0.000 0.500 0.743
In3 0.500 0.000 0.743
In4 0.500 0.500 0.000
In5 0.500 0.000 0.257
Ag1 0.000 0.000 0.500
Te1 0.724 0.276 0.393
Te2 0.218 0.782 0.889
Te3 0.782 0.218 0.889
Te4 0.782 0.782 0.111
Te5 0.276 0.724 0.393
Te6 0.218 0.218 0.111
Te7 0.724 0.724 0.607
Te8 0.276 0.276 0.607

5.
## TiIn2Ag (GGA-PBEsol)

Data for an optimized crystal structure of TiIn2Ag.

- Symmetry: No. 225
- Electronic total energy: -17.4 eV per cell

Cell lengths 4.762, 4.762, 4.762 Å; angles 60.00, 60.00, 60.00 degrees
Site moments in Bohr magnetons follow the coordinates.
Positions (direct):
Ti1 0.000 0.000 0.000  0.92
Ag1 0.500 0.500 0.500  -0.02
In1 0.250 0.250 0.250  0.01
In2 0.750 0.750 0.750  0.01

6.
## TlIn2Ag (GGA-PBEsol)

Data for an optimized crystal structure of TlIn2Ag.

- Symmetry: No. 123
- Electronic total energy: -11.9 eV per cell

Cell lengths 3.227, 3.227, 8.924 Å; angles 90.00, 90.00, 90.00 degrees
Positions (direct):
Tl1 0.500 0.500 0.000
Ag1 0.500 0.500 0.500
In1 0.000 0.000 0.713
In2 0.000 0.000 0.287

7.
## Tm2InAg (GGA-PBEsol)

Data for an optimized crystal structure of Tm2InAg.

- Symmetry: No. 123
- Electronic total energy: -17.8 eV per cell

Cell lengths 3.519, 3.519, 7.471 Å; angles 90.00, 90.00, 90.00 degrees
Positions (direct):
Tm1 0.000 0.000 0.765
Tm2 0.000 0.000 0.235
Ag1 0.500 0.500 0.000
In1 0.500 0.500 0.500

8.
## InAg2W (GGA-PBEsol)

Data for an optimized crystal structure of InAg2W.

- Symmetry: No. 160
- Electronic total energy: -21.9 eV per cell

Cell lengths 2.894, 2.894, 9.672 Å; angles 81.40, 81.40, 60.00 degrees
Positions (direct):
Ag1 0.999 0.999 0.002
Ag2 0.748 0.748 0.756
In1 0.501 0.501 0.498
W1 0.252 0.252 0.244

9.
## InAg2W (GGA-PBEsol)

Data for an optimized crystal structure of InAg2W.

- Symmetry: No. 47
- Electronic total energy: -21.3 eV per cell

Cell lengths 2.898, 4.858, 4.938 Å; angles 90.00, 90.00, 90.00 degrees
Positions (direct):
Ag1 0.000 0.000 0.000
Ag2 0.500 0.500 0.000
In1 0.500 0.000 0.500
W1 0.000 0.500 0.500

10.
## Zn2InAg (GGA-PBEsol)

Data for an optimized crystal structure of Zn2InAg.

- Symmetry: No. 216
- Electronic total energy: -8.9 eV per cell

Cell lengths 4.619, 4.619, 4.619 Å; angles 60.00, 60.00, 60.00 degrees
Positions (direct):
Ag1 0.500 0.500 0.500
In1 0.250 0.250 0.250
Zn1 0.000 0.000 0.000
Zn2 0.750 0.750 0.750

11.
## Zn2InAg (GGA-PBEsol)

Data for an optimized crystal structure of Zn2InAg.

- Symmetry: No. 47
- Electronic total energy: -9.3 eV per cell

Cell lengths 3.177, 3.927, 5.501 Å; angles 90.00, 90.00, 90.00 degrees
Positions (direct):
Ag1 0.500 0.500 0.000
In1 0.500 0.500 0.500
Zn1 0.000 0.000 0.763
Zn2 0.000 0.000 0.237

12.
## Zn2InAg (GGA-PBEsol)

Data for an optimized crystal structure of Zn2InAg.

- Symmetry: No. 99
- Electronic total energy: -9.3 eV per cell

Cell lengths 3.519, 3.519, 5.549 Å; angles 90.00, 90.00, 90.00 degrees
Positions (direct):
Ag1 0.000 0.000 0.484
In1 0.500 0.500 0.753
Zn1 0.000 0.000 0.016
Zn2 0.500 0.500 0.246

Going through the records in order, we get magnetization values of 0.00; 0.00; 0.00; 0.00; 1.10; 0.00; 0.00; 0.00; 0.00; 0.00; 0.00; 0.00 μB/f.u..